Entry 1:
The following is a DFT calculation (PBE) of an optimized crystal structure of AuBr2Cl.

The uncorrected formation energy comes out at -0.012 eV per atom. Its energy above the most stable polymorph in this dataset is 0.163 eV/atom.

It has space group Cmm2 (No. 35), with a = 3.711 Å, b = 8.691 Å, c = 8.721 Å, α = 90.00°, β = 90.00° and γ = 90.00°. The distinct sites, in fractional coordinates, are Au at (0.000, 0.000, 0.000), Br at (0.000, 0.000, 0.451), Br at (0.000, 0.500, 0.202) and Cl at (0.000, 0.500, 0.817).

---

Entry 2:
The following is a DFT calculation (PBE) of an optimized crystal structure of K3TaIn3Se8.

The uncorrected formation energy comes out at -0.807 eV per atom.

It has space group C2/m (No. 12), with a = 14.018 Å, b = 8.080 Å, c = 9.114 Å, α = 90.00°, β = 120.75° and γ = 90.00°. The distinct sites, in fractional coordinates, are K at (0.000, 0.000, 0.000), K at (0.250, 0.250, 0.000), Ta at (0.000, 0.000, 0.500), In at (0.000, 0.500, 0.500), In at (0.250, 0.250, 0.500), Se at (0.014, 0.233, 0.310), Se at (0.219, 0.000, 0.690) and Se at (0.233, 0.500, 0.696).

---

Entry 3:
The following is a DFT calculation (PBE) of an optimized crystal structure of Mo2Ru.

The calculation puts the formation energy from the elements at 0.31 eV/atom. Its energy above the most stable polymorph in this dataset is 0.305 eV/atom.

It has space group P6/mmm (No. 191), with a = 4.4237 Å, b = 4.4237 Å, c = 2.7218 Å, α = 90.00°, β = 90.00° and γ = 120.00°. The distinct sites, in fractional coordinates, are Mo at (0.3333, 0.6667, 0.0000) and Ru at (0.0000, 0.0000, 0.5000).